TbAlCu: relaxed, PBE.

a b c (Å): 4.501 4.501 4.501
angles (deg): 60.00 60.00 60.00
Positions (direct):
Al: 0.500 0.500 0.500
Cu: 0.250 0.250 0.250
Tb: 0.000 0.000 0.000

**Calculated density**: 6422 kg/m³
**Magnetic moment**: 0.000 μB per atom
**Calculated volume**: 21.499 Å³ per atom
**Energy of formation**: -0.2542 eV/atom

MgAsNF2: relaxed, PBE.

a b c (Å): 3.606 3.606 4.949
angles (deg): 90.00 90.00 90.00
Positions (direct):
F: 0.000 0.500 0.000
F: 0.500 0.000 0.000
As: 0.500 0.500 0.500
Mg: 0.000 0.000 0.000
N: 0.000 0.000 0.500

**Calculated density**: 3901 kg/m³
**Raw formation energy**: -1.009 eV per atom
**Magnetic moment**: 0.023 μB per atom
**Polymorph energy (0 for the lowest one)**: 0.000 eV per atom
**Calculated volume**: 12.873 Å³ per atom

Ac2LaCdCo: relaxed, PBE.

a b c (Å): 4.313 9.021 9.205
angles (deg): 107.22 90.00 90.00
Positions (direct):
Co: 0.250 0.837 0.826
Co: 0.750 0.163 0.174
Cd: 0.250 0.716 0.307
Cd: 0.750 0.284 0.693
Ac: 0.750 0.881 0.626
Ac: 0.250 0.119 0.374
Ac: 0.750 0.810 0.037
Ac: 0.250 0.190 0.963
La: 0.250 0.559 0.689
La: 0.750 0.441 0.311

**Calculated density**: 7418 kg/m³
**Magnetic moment**: 0.000 μB per atom
**Calculated volume**: 34.215 Å³ per atom
**Energy of formation**: -0.1095 eV/atom